Entry 1:
Entry from the Alexandria database: CuH3O after structural relaxation (PBE-GGA).

Geometry as POSCAR:
```
CuH3O
1.0
3.242 0.000 0.000
0.000 3.242 0.000
0.000 0.000 3.242
Cu H O
1 3 1
direct
0.000 0.000 0.000
0.000 0.000 0.500
0.000 0.500 0.000
0.500 0.000 0.000
0.500 0.500 0.500
```

Results
Calculated density ... 4.03 Mg/m³
Offset from the most stable computed form ... 4 meV per atom
Total moment ... 0.942 μB per formula unit
Space group ... Pm-3m, No. 221

Entry 2:
Entry from the Alexandria database: CuH2O after structural relaxation (PBE-GGA).

Geometry as POSCAR:
```
CuH2O
1.0
0.000 3.043 3.043
3.043 0.000 3.043
3.043 3.043 0.000
Cu H O
2 4 2
direct
0.125 0.125 0.125
0.875 0.875 0.875
0.000 0.500 0.500
0.500 0.000 0.500
0.500 0.500 0.000
0.500 0.500 0.500
0.375 0.375 0.375
0.625 0.625 0.625
```

Results
Calculated density ... 4.81 Mg/m³
Offset from the most stable computed form ... 0 meV per atom
Total moment ... 0.000 μB per formula unit
Space group ... Fd-3m, No. 227

Entry 3:
Entry from the Alexandria database: CuHO after structural relaxation (PBE-GGA).

Geometry as POSCAR:
```
CuHO
1.0
-1.517 1.517 3.409
1.517 -1.517 3.409
1.517 1.517 -3.409
Cu H O
1 1 1
direct
0.000 0.000 0.000
0.319 0.319 0.000
0.465 0.465 0.000
```

Results
Calculated density ... 4.26 Mg/m³
Offset from the most stable computed form ... 200 meV per atom
Total moment ... 0.000 μB per formula unit
Space group ... I4mm, No. 107

Entry 4:
Entry from the Alexandria database: CuHO2 after structural relaxation (PBE-GGA).

Geometry as POSCAR:
```
CuHO2
1.0
1.489 -6.017 0.000
1.489 6.017 0.000
0.000 0.000 3.968
Cu H O
2 2 4
direct
0.177 0.823 0.500
0.823 0.177 0.000
0.482 0.518 0.195
0.518 0.482 0.695
0.211 0.789 0.998
0.431 0.569 0.989
0.569 0.431 0.489
0.789 0.211 0.498
```

Results
Raw total energy ... -4.954 eV per atom
Calculated density ... 4.51 Mg/m³
Total moment ... 0.814 μB per formula unit
Space group ... Cmc2_1, No. 36

Entry 5:
Entry from the Alexandria database: CuPHO2 after structural relaxation (PBE-GGA).

Geometry as POSCAR:
```
CuPHO2
1.0
3.589 0.000 0.000
0.000 3.589 0.000
0.000 0.000 4.867
Cu P H O
1 1 1 2
direct
0.000 0.000 0.000
0.000 0.000 0.500
0.500 0.500 0.500
0.000 0.500 0.000
0.500 0.000 0.000
```

Results
Calculated density ... 3.38 Mg/m³
Offset from the most stable computed form ... 244 meV per atom
Total moment ... 0.933 μB per formula unit
Space group ... P4/mmm, No. 123

Entry 6:
Entry from the Alexandria database: Cu9P4H2O20 after structural relaxation (PBE-GGA).

Geometry as POSCAR:
```
Cu9P4H2O20
1.0
5.963 0.000 0.000
-0.621 8.229 0.000
-1.908 -3.593 7.994
Cu P H O
9 4 2 20
direct
0.000 0.000 0.000
0.017 0.323 0.354
0.179 0.397 0.056
0.313 0.218 0.677
0.432 0.180 0.289
0.568 0.820 0.711
0.687 0.782 0.323
0.821 0.603 0.944
0.983 0.677 0.646
0.204 0.753 0.408
0.340 0.730 0.970
0.660 0.270 0.030
0.796 0.247 0.592
0.133 0.045 0.380
0.867 0.955 0.620
0.014 0.832 0.322
0.087 0.599 0.440
0.156 0.569 0.946
0.162 0.237 0.167
0.224 0.170 0.432
0.273 0.910 0.072
0.336 0.713 0.790
0.336 0.903 0.583
0.369 0.677 0.297
0.413 0.280 0.937
0.587 0.720 0.063
0.631 0.323 0.703
0.664 0.097 0.417
0.664 0.287 0.210
0.727 0.090 0.928
0.776 0.830 0.568
0.838 0.763 0.833
0.844 0.431 0.054
0.913 0.401 0.560
0.986 0.168 0.678
```

Results
Raw total energy ... -5.963 eV per atom
Calculated density ... 4.31 Mg/m³
Total moment ... 2.918 μB per formula unit
Space group ... P-1, No. 2

Question: Look up the total moment of the fifth one.
Answer: 0.933 μB per formula unit